Below is a geometry-optimized NaLaYGa structure, with properties calculated at the GGA-PBE level.

extended XYZ file:
```
4
Lattice="-5.253 0.901 0.688 -3.564 -2.156 -3.396 -3.215 -3.978 1.648" Properties=species:S:1:pos:R:3 pbc="T T T"
Y -6.016 -2.617 -0.530
Na -3.008 -1.308 -0.265
Ga -9.024 -3.925 -0.795
La 0.000 0.000 0.000
```

Values from the calculation:
Calculated density, g/cm3: 4.85
Total magnetic moment, μB per formula unit: 0.00
SG: No. 216
Fermi-level density of states, states/eV/f.u.: 4.6
VASP energy, eV for the cell shown: -16.361

Below is a geometry-optimized Ba5Mg4In structure, with properties calculated at the GGA-PBE level.

extended XYZ file:
```
10
Lattice="4.341 0.000 0.000 0.000 4.341 0.000 0.000 0.000 21.778" Properties=species:S:1:pos:R:3 pbc="T T T"
Ba 2.170 2.170 2.062
Ba 2.170 2.170 6.484
Ba 2.170 2.170 10.889
Ba 2.170 2.170 15.294
Ba 2.170 2.170 19.716
Mg 0.000 0.000 4.291
Mg 0.000 0.000 8.707
Mg 0.000 0.000 13.071
Mg 0.000 0.000 17.487
In 0.000 0.000 0.000
```

Values from the calculation:
Calculated density, g/cm3: 3.64
Total magnetic moment, μB per formula unit: 0.00
SG: No. 123
Fermi-level density of states, states/eV/f.u.: 6.6
VASP energy, eV for the cell shown: -20.009

Below is a geometry-optimized MgRuAu2 structure, with properties calculated at the GGA-PBE level.

extended XYZ file:
```
4
Lattice="4.565 0.000 0.000 2.282 3.953 0.000 2.282 1.318 3.727" Properties=species:S:1:pos:R:3 pbc="T T T"
Au 0.000 0.000 0.000
Au 2.282 1.318 0.932
Mg 4.565 2.635 1.864
Ru 6.847 3.953 2.795
```

Values from the calculation:
Calculated density, g/cm3: 12.82
Total magnetic moment, μB per formula unit: 0.96
SG: No. 216
Fermi-level density of states, states/eV/f.u.: 6.1
VASP energy, eV for the cell shown: -17.106

Below is a geometry-optimized Ca2Tl2Ag structure, with properties calculated at the GGA-PBE level.

extended XYZ file:
```
5
Lattice="4.790 0.000 0.000 0.000 4.790 0.000 2.395 2.395 7.005" Properties=species:S:1:pos:R:3 pbc="T T T"
Tl 2.395 2.395 1.382
Tl 4.790 4.790 5.623
Ca 4.790 2.395 3.503
Ca 2.395 4.790 3.503
Ag 0.000 0.000 0.000
```

Values from the calculation:
Calculated density, g/cm3: 6.17
Energy above the most stable polymorph in this dataset, eV per atom: 0.505
Total magnetic moment, μB per formula unit: 0.00
SG: No. 139
Fermi-level density of states, states/eV/f.u.: 3.4